An optimized crystal structure of CeSmPuIr. Source: Alexandria via LeMat-Bulk, functional PBE-GGA.

extended XYZ file:
```
4
Lattice="0.000 3.608 3.608 3.608 0.000 3.608 3.608 3.608 0.000" Properties=species:S:1:pos:R:3 pbc="T T T"
Ce 0.000 0.000 0.000
Sm 3.608 3.608 3.608
Pu 5.412 5.412 5.412
Ir 1.804 1.804 1.804
```

The calculation puts the density at 12.85 g/cm3. The value obtained for the magnetization is 7.6 μB/cell. The energy of formation from the pure elements is -0.109 eV per atom. Its total energy is -8.570 eV/atom. As for the symmetry: F-43m, No. 216.